! Na2TbSb3Pt4 (PBE, optimized geometry); values from VASP
! * formation energy (no corrections): -0.5928 eV/atom
&SYSTEM
  ibrav = 0, nat = 10, ntyp = 4
/
ATOMIC_SPECIES
Sb 121.76 Sb.upf
Pt 195.08 Pt.upf
Na 22.99 Na.upf
Tb 158.93 Tb.upf
CELL_PARAMETERS angstrom
4.592 0.000 0.000
0.000 4.592 0.000
0.000 0.000 11.158
ATOMIC_POSITIONS crystal
Sb 0.000 0.000 0.500
Sb 0.000 0.500 0.126
Sb 0.500 0.000 0.874
Pt 0.500 0.500 0.000
Pt 0.000 0.500 0.358
Pt 0.500 0.000 0.642
Pt 0.000 0.000 0.000
Na 0.000 0.500 0.779
Na 0.500 0.000 0.221
Tb 0.500 0.500 0.500

---

! Pm4TmGa4 (PBE, optimized geometry); values from VASP
! * formation energy: -388 meV/atom
&SYSTEM
  ibrav = 0, nat = 18, ntyp = 3
/
ATOMIC_SPECIES
Pm 145.00 Pm.upf
Ga 69.72 Ga.upf
Tm 168.93 Tm.upf
CELL_PARAMETERS angstrom
4.747 0.000 0.000
0.000 10.249 0.000
0.000 0.000 10.249
ATOMIC_POSITIONS crystal
Pm 0.500 0.633 0.147
Pm 0.000 0.867 0.353
Pm 0.000 0.353 0.133
Pm 0.500 0.367 0.853
Pm 0.000 0.133 0.647
Pm 0.500 0.853 0.633
Pm 0.000 0.647 0.867
Pm 0.500 0.147 0.367
Ga 0.500 0.070 0.833
Ga 0.000 0.570 0.333
Ga 0.500 0.167 0.070
Ga 0.500 0.833 0.930
Ga 0.500 0.930 0.167
Ga 0.000 0.333 0.430
Ga 0.000 0.430 0.667
Ga 0.000 0.667 0.570
Tm 0.000 0.000 0.000
Tm 0.500 0.500 0.500

---

! Zr3TiSe (PBE, optimized geometry); values from VASP
! * formation energy (no corrections): 0.0546 eV/atom
! * polymorph energy (0 for the lowest one): 0.0 kJ per mole of atoms
&SYSTEM
  ibrav = 0, nat = 5, ntyp = 3
/
ATOMIC_SPECIES
Zr 91.22 Zr.upf
Ti 47.87 Ti.upf
Se 78.96 Se.upf
CELL_PARAMETERS angstrom
-1.735 -4.325 -1.724
0.637 -2.044 4.484
-4.612 1.345 1.268
ATOMIC_POSITIONS crystal
Zr 0.000 0.500 0.000
Zr 0.500 0.000 0.000
Zr 0.000 0.000 0.500
Ti 0.500 0.500 0.500
Se 0.000 0.000 0.000

---

! DyZn10Pd2 (PBE, optimized geometry); values from VASP
! * formation energy: -293 meV/atom
&SYSTEM
  ibrav = 0, nat = 13, ntyp = 3
/
ATOMIC_SPECIES
Zn 65.41 Zn.upf
Pd 106.42 Pd.upf
Dy 162.50 Dy.upf
CELL_PARAMETERS angstrom
5.444 0.000 0.000
2.722 6.260 0.000
2.722 0.000 6.162
ATOMIC_POSITIONS crystal
Zn 0.350 0.646 0.654
Zn 0.285 0.215 0.216
Zn 0.499 0.785 0.216
Zn 0.650 0.354 0.346
Zn 0.004 0.646 0.346
Zn 0.501 0.215 0.784
Zn 0.715 0.785 0.784
Zn 0.000 0.000 0.500
Zn 0.996 0.354 0.654
Zn 0.500 0.000 0.500
Pd 0.500 0.500 0.000
Pd 0.000 0.500 0.000
Dy 0.000 0.000 0.000

---

! TaPRhO2 (PBE, optimized geometry); values from VASP
! * formation energy (no corrections): -1.0612 eV/atom
! * polymorph energy (0 for the lowest one): 0.0 kJ per mole of atoms
&SYSTEM
  ibrav = 0, nat = 5, ntyp = 4
/
ATOMIC_SPECIES
O 16.00 O.upf
P 30.97 P.upf
Ta 180.95 Ta.upf
Rh 102.91 Rh.upf
CELL_PARAMETERS angstrom
-0.392 -3.705 -0.813
0.475 -0.859 3.685
-5.343 0.394 0.780
ATOMIC_POSITIONS crystal
O 0.500 0.000 0.000
O 0.000 0.500 0.000
P 0.000 0.000 0.500
Ta 0.000 0.000 0.000
Rh 0.500 0.500 0.500

---

! CeSmH8Ir2 (PBE, optimized geometry); values from VASP
! * energy: -4.871 eV/atom
&SYSTEM
  ibrav = 0, nat = 12, ntyp = 4
/
ATOMIC_SPECIES
H 1.01 H.upf
Ir 192.22 Ir.upf
Ce 140.12 Ce.upf
Sm 150.36 Sm.upf
CELL_PARAMETERS angstrom
4.822 0.000 0.000
2.411 4.176 0.000
2.411 1.392 6.237
ATOMIC_POSITIONS crystal
H 0.529 0.530 0.828
H 0.833 0.833 0.502
H 0.886 0.471 0.172
H 0.167 0.167 0.498
H 0.471 0.470 0.172
H 0.530 0.114 0.828
H 0.470 0.886 0.172
H 0.114 0.529 0.828
Ir 0.745 0.745 0.764
Ir 0.255 0.255 0.236
Ce 0.500 0.500 0.500
Sm 0.000 0.000 0.000

---

! Sm2ZrPd9 (PBE, optimized geometry); values from VASP
! * formation energy: -819 meV/atom
&SYSTEM
  ibrav = 0, nat = 12, ntyp = 3
/
ATOMIC_SPECIES
Pd 106.42 Pd.upf
Zr 91.22 Zr.upf
Sm 150.36 Sm.upf
CELL_PARAMETERS angstrom
4.119 0.000 0.000
0.000 4.119 0.000
0.000 0.000 12.418
ATOMIC_POSITIONS crystal
Pd 0.500 0.000 0.844
Pd 0.500 0.500 0.672
Pd 0.500 0.500 0.000
Pd 0.000 0.500 0.844
Pd 0.000 0.500 0.500
Pd 0.500 0.500 0.328
Pd 0.500 0.000 0.156
Pd 0.000 0.500 0.156
Pd 0.500 0.000 0.500
Zr 0.000 0.000 0.000
Sm 0.000 0.000 0.330
Sm 0.000 0.000 0.670

---

! ScAl2Hg2 (PBE, optimized geometry); values from VASP
! * polymorph energy (0 for the lowest one): 5.6 kJ per mole of atoms
! * formation energy: -28 meV/atom
&SYSTEM
  ibrav = 0, nat = 10, ntyp = 3
/
ATOMIC_SPECIES
Al 26.98 Al.upf
Hg 200.59 Hg.upf
Sc 44.96 Sc.upf
CELL_PARAMETERS angstrom
-5.206 -5.118 2.685
5.511 -3.306 4.384
-0.757 2.100 2.535
ATOMIC_POSITIONS crystal
Al 0.625 0.125 0.000
Al 0.875 0.625 0.000
Al 0.375 0.875 0.000
Al 0.125 0.375 0.000
Hg 0.825 0.325 0.500
Hg 0.325 0.175 0.500
Hg 0.175 0.675 0.500
Hg 0.675 0.825 0.500
Sc 0.000 0.000 0.000
Sc 0.500 0.500 0.000

---

Number 1: D(E_F) 0.521 states/eV/atom. Number 2: D(E_F) 0.895 states/eV/atom. Number 3: D(E_F) 0.945 states/eV/atom. Number 4: D(E_F) 0.444 states/eV/atom. Number 5: D(E_F) 0.676 states/eV/atom. Number 6: D(E_F) 0.410 states/eV/atom. Number 7: D(E_F) 0.588 states/eV/atom. Number 8: D(E_F) 0.415 states/eV/atom.